Entry 1:
DFT (PBE) results for a relaxed La2PdSe3 crystal. Values from VASP.

symmetry: Pnma, No. 62

The structure in Quantum ESPRESSO input format:
```
&SYSTEM
  ibrav = 0, nat = 24, ntyp = 3
/
ATOMIC_SPECIES
La 138.91 La.upf
Pd 106.42 Pd.upf
Se 78.96 Se.upf
ATOMIC_POSITIONS crystal
La 0.086 0.250 0.218
La 0.230 0.750 0.473
La 0.270 0.250 0.973
La 0.414 0.750 0.718
La 0.586 0.250 0.282
La 0.730 0.750 0.027
La 0.770 0.250 0.527
La 0.914 0.750 0.782
Pd 0.123 0.250 0.633
Pd 0.377 0.750 0.133
Pd 0.623 0.250 0.867
Pd 0.877 0.750 0.367
Se 0.029 0.250 0.400
Se 0.103 0.750 0.073
Se 0.188 0.250 0.786
Se 0.312 0.750 0.286
Se 0.397 0.250 0.573
Se 0.471 0.750 0.900
Se 0.529 0.250 0.100
Se 0.603 0.750 0.427
Se 0.688 0.250 0.714
Se 0.812 0.750 0.214
Se 0.897 0.250 0.927
Se 0.971 0.750 0.600
CELL_PARAMETERS angstrom
8.597 0.000 0.000
0.000 4.239 0.000
0.000 0.000 16.633
```

Entry 2:
DFT (PBE) results for a relaxed La4PdSe3 crystal. Values from VASP.

symmetry: P2/c, No. 13

The structure in Quantum ESPRESSO input format:
```
&SYSTEM
  ibrav = 0, nat = 16, ntyp = 3
/
ATOMIC_SPECIES
La 138.91 La.upf
Pd 106.42 Pd.upf
Se 78.96 Se.upf
ATOMIC_POSITIONS crystal
La 0.245 0.123 0.004
La 0.245 0.877 0.504
La 0.249 0.374 0.501
La 0.249 0.626 0.001
La 0.751 0.374 0.999
La 0.751 0.626 0.499
La 0.755 0.123 0.496
La 0.755 0.877 0.996
Pd 0.000 0.125 0.250
Pd 0.000 0.875 0.750
Se 0.000 0.375 0.750
Se 0.000 0.625 0.250
Se 0.500 0.127 0.750
Se 0.500 0.377 0.250
Se 0.500 0.623 0.750
Se 0.500 0.873 0.250
CELL_PARAMETERS angstrom
7.542 0.000 0.000
0.000 8.648 0.000
-2.427 0.000 7.000
```

Entry 3:
DFT (PBE) results for a relaxed LaPd3Se crystal. Values from VASP.

excess energy over the best structure of this formula in the dataset: 1.0568 eV/atom
symmetry: Pm-3m, No. 221

The structure in Quantum ESPRESSO input format:
```
&SYSTEM
  ibrav = 0, nat = 5, ntyp = 3
/
ATOMIC_SPECIES
La 138.91 La.upf
Pd 106.42 Pd.upf
Se 78.96 Se.upf
ATOMIC_POSITIONS crystal
La 0.000 0.000 0.000
Pd 0.000 0.000 0.500
Pd 0.000 0.500 0.000
Pd 0.500 0.000 0.000
Se 0.500 0.500 0.500
CELL_PARAMETERS angstrom
5.129 0.000 0.000
0.000 5.129 0.000
0.000 0.000 5.129
```

no.,formation energy from raw total energies (eV/atom),raw total energy (eV/atom)
1,-1.685,-5.94
2,-1.664,-6.08
3,0.561,-4.24